# In2SbMo

In2SbMo at its PBEsol-relaxed geometry (meta-GGA SCAN, Alexandria via LeMat-Bulk).

Density = 8692 kg/m³
Total magnetization = 0.0 Bohr magnetons per cell
Density of states at the Fermi level = 0.5909 states/eV per atom
ΔE_f (raw) = 1.8 eV/f.u.

abc: 3.1001 3.1001 30.8019
angles: 90.00 90.00 120.00
Space group R-3m (No. 166, hexagonal axes)
Symmetry-distinct sites (fractional):
In 0.0000 0.0000 0.2402 [6 per cell]
Sb 0.0000 0.0000 0.0000 [3 per cell]
Mo 0.0000 0.0000 0.5000 [3 per cell]